Here is a geometry-optimized MoPb4 structure from Alexandria. Energies are from PBE.

Properties
Magnetic moment, μB per formula unit: 0.00
Formation energy, eV/atom: 0.548

```
MoPb4
1.0
5.446 0.000 0.000
0.000 5.446 0.000
0.000 0.000 5.446
Mo Pb
1 4
Cartesian
0.000 0.000 0.000 Mo
0.000 0.000 2.723 Pb
0.000 2.723 0.000 Pb
2.723 0.000 0.000 Pb
2.723 2.723 2.723 Pb
```

---

Here is a geometry-optimized CaSi2Ir structure from Alexandria. Energies are from PBE.

Properties
Magnetic moment, μB per formula unit: 0.00
E_form (uncorrected), meV/atom: -431

```
CaSi2Ir
1.0
4.136 0.000 0.000
0.000 4.206 0.000
0.000 0.000 4.801
Ca Si Ir
1 2 1
Cartesian
0.000 0.000 0.000 Ca
2.068 2.103 1.178 Si
2.068 2.103 3.623 Si
0.000 2.103 2.400 Ir
```

---

Here is a geometry-optimized CsBaTlSe2 structure from Alexandria. Energies are from PBE.

Properties
Magnetic moment, μB per formula unit: 0.00
E_form (uncorrected), meV/atom: -987

```
CsBaTlSe2
1.0
8.748 0.000 0.000
0.000 8.011 0.000
-1.043 0.000 8.561
Cs Ba Tl Se
2 2 2 4
Cartesian
-0.261 0.758 2.140 Cs
-0.782 7.252 6.421 Cs
3.591 0.144 6.421 Ba
4.113 7.867 2.140 Ba
4.374 4.005 0.000 Tl
3.852 4.005 4.281 Tl
1.527 1.485 8.459 Se
2.049 6.526 4.178 Se
5.656 1.485 4.383 Se
6.177 6.526 0.102 Se
```

---

Here is a geometry-optimized Ti2InHPd structure from Alexandria. Energies are from PBE.

Properties
Magnetic moment, μB per formula unit: 0.00

```
Ti2InHPd
1.0
3.901 0.000 0.000
0.000 3.901 0.000
0.000 0.000 4.664
Ti In H Pd
2 1 1 1
Cartesian
0.000 1.950 0.000 Ti
1.950 0.000 0.000 Ti
0.000 0.000 2.332 In
0.000 0.000 0.000 H
1.950 1.950 2.332 Pd
```

---

Number 1: E -4.585 eV/atom, mass density 9.5 g/cm³. Number 2: E -5.858 eV/atom, mass density 5.7 g/cm³. Number 3: E -3.410 eV/atom, mass density 3.5 g/cm³. Number 4: E -5.705 eV/atom, mass density 7.4 g/cm³.